{"formula": "Al2VFe", "functional": "PBE", "state": "optimized geometry", "total_energy_ev_per_cell": -25.932, "ef_kj_per_mol_atoms": -20.89, "cell": [[-2.5079, -1.7335, -2.1648], [2.7841, -2.0771, -1.5622], [-0.4783, -2.6597, 2.6839]], "species": ["Al", "Al", "Fe", "V"], "fractional_positions": [[0.0000, 0.0000, 0.5000], [0.0000, 0.5000, 0.0000], [0.5000, 0.5000, 0.5000], [0.5000, 0.0000, 0.0000]]}